# 1
Below is a relaxed RbZn2P2HO8 crystal, with properties calculated at the GGA-PBE level.

Cell lengths 5.3226, 8.9708, 9.9088 Å; angles 75.03, 77.75, 73.49 degrees
Space group P-1 (No. 2)
Symmetry-distinct sites (fractional):
Rb: 0.2069 0.2036 0.3242 (multiplicity 2)
Zn: 0.1085 0.1191 0.7726 (multiplicity 2)
Zn: 0.3089 0.3882 0.8886 (multiplicity 2)
P: 0.1693 0.7448 0.9504 (multiplicity 2)
P: 0.3971 0.7451 0.3864 (multiplicity 2)
H: 0.4458 0.5749 0.5969 (multiplicity 2)
O: 0.0270 0.2683 0.9036 (multiplicity 2)
O: 0.0692 0.9046 0.8516 (multiplicity 2)
O: 0.0961 0.7962 0.3865 (multiplicity 2)
O: 0.1473 0.6125 0.8828 (multiplicity 2)
O: 0.4418 0.6904 0.5480 (multiplicity 2)
O: 0.4527 0.7279 0.9757 (multiplicity 2)
O: 0.4660 0.3994 0.6846 (multiplicity 2)
O: 0.4756 0.1139 0.6786 (multiplicity 2)

DFT total energy	-85.036	eV/f.u.
calculated volume	15.47	Å³ per atom

# 2
Below is a relaxed CsRbSnS3 crystal, with properties calculated at the GGA-PBE level.

Cell lengths 9.7508, 10.1581, 10.4246 Å; angles 90.00, 95.02, 90.00 degrees
Space group C2/m (No. 12)
Symmetry-distinct sites (fractional):
Cs: 0.1988 0.0000 0.1180 (multiplicity 4)
Rb: 0.0000 0.2819 0.5000 (multiplicity 4)
Sn: 0.1632 0.0000 0.7068 (multiplicity 4)
S: 0.1117 0.1937 0.8104 (multiplicity 8)
S: 0.2294 0.0000 0.4963 (multiplicity 4)

formation energy (no corrections)	-0.82	eV/atom
DFT total energy	-23.133	eV/f.u.
calculated volume	42.86	Å³ per atom

# 3
Below is a relaxed TbNdCSe crystal, with properties calculated at the GGA-PBE level.

Cell lengths 3.8206, 3.8206, 20.6835 Å; angles 90.00, 90.00, 120.00 degrees
Space group R3m (No. 160, hexagonal axes)
Symmetry-distinct sites (fractional):
Tb: 0.0000 0.0000 0.0000 (multiplicity 3)
Nd: 0.0000 0.0000 0.1987 (multiplicity 3)
C: 0.0000 0.0000 0.6013 (multiplicity 3)
Se: 0.0000 0.0000 0.4278 (multiplicity 3)

formation energy (no corrections)	-1.03	eV/atom
DFT total energy	-26.220	eV/f.u.
calculated volume	21.79	Å³ per atom

# 4
Below is a relaxed RbCd3Au3 crystal, with properties calculated at the GGA-PBE level.

Cell lengths 7.7808, 7.7808, 7.7808 Å; angles 90.00, 90.00, 90.00 degrees
Space group Pm-3n (No. 223)
Symmetry-distinct sites (fractional):
Rb: 0.0000 0.0000 0.0000 (multiplicity 2)
Cd: 0.0000 0.2500 0.5000 (multiplicity 6)
Au: 0.0000 0.5000 0.2500 (multiplicity 6)

calculated formation energy	-0.05	eV per atom
DFT total energy	-13.897	eV/f.u.
energy relative to the lowest polymorph listed for this composition	7.7	kJ per mole of atoms
calculated volume	33.65	Å³ per atom

# 5
Below is a relaxed AlHgTeI crystal, with properties calculated at the GGA-PBE level.

Cell lengths 7.2435, 4.1827, 11.2744 Å; angles 90.00, 101.61, 90.00 degrees
Space group Cm (No. 8)
Symmetry-distinct sites (fractional):
Al: 0.0000 0.0000 0.0000 (multiplicity 2)
Hg: 0.1998 0.0000 0.5760 (multiplicity 2)
Te: 0.1319 0.5000 0.8893 (multiplicity 2)
I: 0.0706 0.0000 0.2247 (multiplicity 2)

formation energy (no corrections)	-0.38	eV/atom
DFT total energy	-10.256	eV/f.u.
calculated volume	41.82	Å³ per atom

# 6
Below is a relaxed PrSm3Tm2 crystal, with properties calculated at the GGA-PBE level.

Cell lengths 3.4897, 5.9383, 19.6406 Å; angles 90.00, 90.00, 90.00 degrees
Space group Immm (No. 71)
Symmetry-distinct sites (fractional):
Pr: 0.0000 0.0000 0.0000 (multiplicity 2)
Sm: 0.0000 0.0000 0.1928 (multiplicity 4)
Sm: 0.0000 0.5000 0.0000 (multiplicity 2)
Tm: 0.0000 0.0000 0.3621 (multiplicity 4)

calculated formation energy	0.34	eV per atom
DFT total energy	-25.838	eV/f.u.
energy relative to the lowest polymorph listed for this composition	30.0	kJ per mole of atoms
calculated volume	33.92	Å³ per atom

# 7
Below is a relaxed MgTi2Rh2 crystal, with properties calculated at the GGA-PBE level.

Cell lengths 4.1350, 4.1350, 10.7287 Å; angles 90.00, 90.00, 90.00 degrees
Space group I4/mmm (No. 139)
Symmetry-distinct sites (fractional):
Mg: 0.0000 0.0000 0.0000 (multiplicity 2)
Ti: 0.0000 0.5000 0.2500 (multiplicity 4)
Rh: 0.0000 0.0000 0.3822 (multiplicity 4)

calculated formation energy	-0.46	eV per atom
DFT total energy	-34.409	eV/f.u.
calculated volume	18.34	Å³ per atom

# 8
Below is a relaxed CaCdPb crystal, with properties calculated at the GGA-PBE level.

Cell lengths 3.7196, 3.7196, 12.4696 Å; angles 90.00, 90.00, 90.00 degrees
Space group I4mm (No. 107)
Symmetry-distinct sites (fractional):
Ca: 0.0000 0.0000 0.0000 (multiplicity 2)
Cd: 0.0000 0.0000 0.6611 (multiplicity 2)
Pb: 0.0000 0.0000 0.3168 (multiplicity 2)

calculated formation energy	-0.28	eV per atom
DFT total energy	-7.458	eV/f.u.
calculated volume	28.75	Å³ per atom

Question: What is the DFT total energy in the third record?
Answer: -26.220 eV/f.u.